[1]
# PBE AcDy2Ge, relaxed
# Symmetry: R3m, No. 160
# Calculated volume (Å³ per cell): 135.7
# Total DFT energy (no corrections) (eV/cell): -19.1
# ΔE_f (meV/atom): -287.0
# Energy relative to the lowest polymorph listed for this composition (eV/f.u.): 0.00
data_AcDy2Ge
_cell_length_a 4.073
_cell_length_b 4.073
_cell_length_c 9.729
_cell_angle_alpha 77.92
_cell_angle_beta 77.92
_cell_angle_gamma 60.00
_space_group_name_H-M_alt 'P 1'
_space_group_IT_number 1
loop_
_space_group_symop_operation_xyz
'x,y,z'
loop_
_atom_site_label
_atom_site_type_symbol
_atom_site_fract_x
_atom_site_fract_y
_atom_site_fract_z
Ac1 Ac 0.502 0.502 0.493
Dy1 Dy 0.056 0.056 0.832
Dy2 Dy 0.276 0.276 0.171
Ge1 Ge 0.666 0.666 0.003

=====

[2]
# PBE AcDy2Ge4, relaxed
# Symmetry: Immm, No. 71
# Calculated volume (Å³ per cell): 172.6
# Total DFT energy (no corrections) (eV/cell): -37.0
# ΔE_f (meV/atom): -748.0
data_AcDy2Ge4
_cell_length_a 3.993
_cell_length_b 4.403
_cell_length_c 10.256
_cell_angle_alpha 102.39
_cell_angle_beta 101.22
_cell_angle_gamma 90.00
_space_group_name_H-M_alt 'P 1'
_space_group_IT_number 1
loop_
_space_group_symop_operation_xyz
'x,y,z'
loop_
_atom_site_label
_atom_site_type_symbol
_atom_site_fract_x
_atom_site_fract_y
_atom_site_fract_z
Ac1 Ac 0.500 0.000 0.000
Ge1 Ge 0.665 0.665 0.329
Ge2 Ge 0.335 0.335 0.671
Ge3 Ge 0.078 0.578 0.156
Ge4 Ge 0.922 0.422 0.844
Dy1 Dy 0.816 0.816 0.631
Dy2 Dy 0.184 0.184 0.369

=====

[3]
# PBE Ac2Dy2Ge3, relaxed
# Symmetry: C2/m, No. 12
# Calculated volume (Å³ per cell): 220.9
# Total DFT energy (no corrections) (eV/cell): -35.6
# ΔE_f (meV/atom): -612.1
data_Ac2Dy2Ge3
_cell_length_a 4.678
_cell_length_b 6.047
_cell_length_c 8.576
_cell_angle_alpha 98.33
_cell_angle_beta 89.99
_cell_angle_gamma 112.76
_space_group_name_H-M_alt 'P 1'
_space_group_IT_number 1
loop_
_space_group_symop_operation_xyz
'x,y,z'
loop_
_atom_site_label
_atom_site_type_symbol
_atom_site_fract_x
_atom_site_fract_y
_atom_site_fract_z
Ac1 Ac 0.875 0.748 0.650
Ac2 Ac 0.125 0.252 0.350
Dy1 Dy 0.642 0.283 0.937
Dy2 Dy 0.358 0.717 0.063
Ge1 Ge 0.000 0.000 0.000
Ge2 Ge 0.804 0.608 0.260
Ge3 Ge 0.196 0.392 0.740

=====

[4]
# PBE AcDy2Ge, relaxed
# Symmetry: P4/mmm, No. 123
# Calculated volume (Å³ per cell): 114.8
# Total DFT energy (no corrections) (eV/cell): -18.8
# ΔE_f (meV/atom): -213.3
# Energy relative to the lowest polymorph listed for this composition (eV/f.u.): 0.29
data_AcDy2Ge
_cell_length_a 4.845
_cell_length_b 4.867
_cell_length_c 4.867
_cell_angle_alpha 90.00
_cell_angle_beta 90.00
_cell_angle_gamma 90.00
_space_group_name_H-M_alt 'P 1'
_space_group_IT_number 1
loop_
_space_group_symop_operation_xyz
'x,y,z'
loop_
_atom_site_label
_atom_site_type_symbol
_atom_site_fract_x
_atom_site_fract_y
_atom_site_fract_z
Ac1 Ac 0.500 0.500 0.500
Ge1 Ge 0.500 0.000 0.000
Dy1 Dy 0.000 0.000 0.500
Dy2 Dy 0.000 0.500 0.000

=====

[5]
# PBE Ac12DyGe7, relaxed
# Symmetry: R-3, No. 148
# Calculated volume (Å³ per cell): 797.0
# Total DFT energy (no corrections) (eV/cell): -94.4
# ΔE_f (meV/atom): -408.5
data_Ac12DyGe7
_cell_length_a 9.897
_cell_length_b 9.897
_cell_length_c 9.897
_cell_angle_alpha 107.46
_cell_angle_beta 107.46
_cell_angle_gamma 107.46
_space_group_name_H-M_alt 'P 1'
_space_group_IT_number 1
loop_
_space_group_symop_operation_xyz
'x,y,z'
loop_
_atom_site_label
_atom_site_type_symbol
_atom_site_fract_x
_atom_site_fract_y
_atom_site_fract_z
Ac1 Ac 0.925 0.310 0.774
Ac2 Ac 0.690 0.226 0.075
Ac3 Ac 0.459 0.151 0.378
Ac4 Ac 0.849 0.622 0.541
Ac5 Ac 0.226 0.075 0.690
Ac6 Ac 0.622 0.541 0.849
Ac7 Ac 0.378 0.459 0.151
Ac8 Ac 0.774 0.925 0.310
Ac9 Ac 0.151 0.378 0.459
Ac10 Ac 0.541 0.849 0.622
Ac11 Ac 0.310 0.774 0.925
Ac12 Ac 0.075 0.690 0.226
Dy1 Dy 0.000 0.000 0.000
Ge1 Ge 0.966 0.662 0.887
Ge2 Ge 0.338 0.113 0.034
Ge3 Ge 0.113 0.034 0.338
Ge4 Ge 0.500 0.500 0.500
Ge5 Ge 0.887 0.966 0.662
Ge6 Ge 0.662 0.887 0.966
Ge7 Ge 0.034 0.338 0.113

=====

[6]
# PBE Ac2DyGe2, relaxed
# Symmetry: Cmc2_1, No. 36
# Calculated volume (Å³ per cell): 335.6
# Total DFT energy (no corrections) (eV/cell): -50.1
# ΔE_f (meV/atom): -596.7
# Energy relative to the lowest polymorph listed for this composition (eV/f.u.): 0.45
data_Ac2DyGe2
_cell_length_a 4.657
_cell_length_b 8.270
_cell_length_c 9.020
_cell_angle_alpha 90.00
_cell_angle_beta 104.96
_cell_angle_gamma 90.00
_space_group_name_H-M_alt 'P 1'
_space_group_IT_number 1
loop_
_space_group_symop_operation_xyz
'x,y,z'
loop_
_atom_site_label
_atom_site_type_symbol
_atom_site_fract_x
_atom_site_fract_y
_atom_site_fract_z
Ac1 Ac 0.956 0.732 0.912
Ac2 Ac 0.794 0.382 0.587
Ac3 Ac 0.206 0.882 0.413
Ac4 Ac 0.044 0.232 0.088
Dy1 Dy 0.407 0.088 0.814
Dy2 Dy 0.593 0.588 0.186
Ge1 Ge 0.438 0.436 0.876
Ge2 Ge 0.824 0.996 0.647
Ge3 Ge 0.176 0.496 0.353
Ge4 Ge 0.562 0.936 0.124

=====

[7]
# PBE AcDy4Ge4, relaxed
# Symmetry: P4_2/n, No. 86
# Calculated volume (Å³ per cell): 522.9
# Total DFT energy (no corrections) (eV/cell): -92.8
# ΔE_f (meV/atom): -601.3
data_AcDy4Ge4
_cell_length_a 5.761
_cell_length_b 9.528
_cell_length_c 9.528
_cell_angle_alpha 90.00
_cell_angle_beta 90.00
_cell_angle_gamma 90.00
_space_group_name_H-M_alt 'P 1'
_space_group_IT_number 1
loop_
_space_group_symop_operation_xyz
'x,y,z'
loop_
_atom_site_label
_atom_site_type_symbol
_atom_site_fract_x
_atom_site_fract_y
_atom_site_fract_z
Ac1 Ac 0.000 0.000 0.000
Ac2 Ac 0.500 0.500 0.500
Dy1 Dy 0.385 0.359 0.884
Dy2 Dy 0.885 0.616 0.859
Dy3 Dy 0.385 0.641 0.116
Dy4 Dy 0.115 0.141 0.616
Dy5 Dy 0.615 0.884 0.641
Dy6 Dy 0.115 0.859 0.384
Dy7 Dy 0.885 0.384 0.141
Dy8 Dy 0.615 0.116 0.359
Ge1 Ge 0.603 0.812 0.334
Ge2 Ge 0.603 0.188 0.666
Ge3 Ge 0.103 0.834 0.688
Ge4 Ge 0.897 0.312 0.834
Ge5 Ge 0.897 0.688 0.166
Ge6 Ge 0.397 0.334 0.188
Ge7 Ge 0.397 0.666 0.812
Ge8 Ge 0.103 0.166 0.312

=====

[8]
# PBE AcDyHgGe, relaxed
# Symmetry: F-43m, No. 216
# Calculated volume (Å³ per cell): 111.8
# Total DFT energy (no corrections) (eV/cell): -15.6
# ΔE_f (meV/atom): -484.9
data_AcDyHgGe
_cell_length_a 5.407
_cell_length_b 5.407
_cell_length_c 5.407
_cell_angle_alpha 60.00
_cell_angle_beta 60.00
_cell_angle_gamma 60.00
_space_group_name_H-M_alt 'P 1'
_space_group_IT_number 1
loop_
_space_group_symop_operation_xyz
'x,y,z'
loop_
_atom_site_label
_atom_site_type_symbol
_atom_site_fract_x
_atom_site_fract_y
_atom_site_fract_z
Ac1 Ac 0.250 0.250 0.250
Ge1 Ge 0.500 0.500 0.500
Hg1 Hg 0.000 0.000 0.000
Dy1 Dy 0.750 0.750 0.750

=====

[9]
# PBE Li2AcDyGe2, relaxed
# Symmetry: P-3m1, No. 164
# Calculated volume (Å³ per cell): 137.3
# Total DFT energy (no corrections) (eV/cell): -25.7
# ΔE_f (meV/atom): -654.5
data_Li2AcDyGe2
_cell_length_a 4.537
_cell_length_b 4.537
_cell_length_c 7.705
_cell_angle_alpha 90.00
_cell_angle_beta 90.00
_cell_angle_gamma 120.00
_space_group_name_H-M_alt 'P 1'
_space_group_IT_number 1
loop_
_space_group_symop_operation_xyz
'x,y,z'
loop_
_atom_site_label
_atom_site_type_symbol
_atom_site_fract_x
_atom_site_fract_y
_atom_site_fract_z
Li1 Li 0.333 0.667 0.690
Li2 Li 0.667 0.333 0.310
Ac1 Ac 0.000 0.000 0.000
Dy1 Dy 0.000 0.000 0.500
Ge1 Ge 0.333 0.667 0.279
Ge2 Ge 0.667 0.333 0.721

=====

[10]
# PBE LiAcDyGe, relaxed
# Symmetry: F-43m, No. 216
# Calculated volume (Å³ per cell): 105.9
# Total DFT energy (no corrections) (eV/cell): -16.5
# ΔE_f (meV/atom): -310.0
data_LiAcDyGe
_cell_length_a 5.311
_cell_length_b 5.311
_cell_length_c 5.311
_cell_angle_alpha 60.00
_cell_angle_beta 60.00
_cell_angle_gamma 60.00
_space_group_name_H-M_alt 'P 1'
_space_group_IT_number 1
loop_
_space_group_symop_operation_xyz
'x,y,z'
loop_
_atom_site_label
_atom_site_type_symbol
_atom_site_fract_x
_atom_site_fract_y
_atom_site_fract_z
Ac1 Ac 0.500 0.500 0.500
Li1 Li 0.750 0.750 0.750
Ge1 Ge 0.250 0.250 0.250
Dy1 Dy 0.000 0.000 0.000

=====

[11]
# PBE Li2AcDy2Ge2, relaxed
# Symmetry: R-3m, No. 166
# Calculated volume (Å³ per cell): 169.3
# Total DFT energy (no corrections) (eV/cell): -29.7
# ΔE_f (meV/atom): -479.2
data_Li2AcDy2Ge2
_cell_length_a 4.585
_cell_length_b 4.585
_cell_length_c 9.670
_cell_angle_alpha 76.29
_cell_angle_beta 76.29
_cell_angle_gamma 60.00
_space_group_name_H-M_alt 'P 1'
_space_group_IT_number 1
loop_
_space_group_symop_operation_xyz
'x,y,z'
loop_
_atom_site_label
_atom_site_type_symbol
_atom_site_fract_x
_atom_site_fract_y
_atom_site_fract_z
Li1 Li 0.585 0.585 0.244
Li2 Li 0.415 0.415 0.756
Ac1 Ac 0.000 0.000 0.000
Dy1 Dy 0.130 0.130 0.609
Dy2 Dy 0.870 0.870 0.391
Ge1 Ge 0.747 0.747 0.759
Ge2 Ge 0.253 0.253 0.241

=====

[12]
# PBE Ac2DyNi3Ge4, relaxed
# Symmetry: P-4m2, No. 115
# Calculated volume (Å³ per cell): 207.5
# Total DFT energy (no corrections) (eV/cell): -54.8
# ΔE_f (meV/atom): -614.7
data_Ac2DyNi3Ge4
_cell_length_a 4.331
_cell_length_b 4.331
_cell_length_c 11.059
_cell_angle_alpha 90.00
_cell_angle_beta 90.00
_cell_angle_gamma 90.00
_space_group_name_H-M_alt 'P 1'
_space_group_IT_number 1
loop_
_space_group_symop_operation_xyz
'x,y,z'
loop_
_atom_site_label
_atom_site_type_symbol
_atom_site_fract_x
_atom_site_fract_y
_atom_site_fract_z
Ac1 Ac 0.500 0.000 0.226
Ac2 Ac 0.000 0.500 0.774
Dy1 Dy 0.500 0.500 0.500
Ni1 Ni 0.000 0.000 0.500
Ni2 Ni 0.500 0.000 0.891
Ni3 Ni 0.000 0.500 0.109
Ge1 Ge 0.500 0.500 0.000
Ge2 Ge 0.000 0.000 0.000
Ge3 Ge 0.500 0.000 0.666
Ge4 Ge 0.000 0.500 0.334

=====

[13]
# PBE AcDyNiGe, relaxed
# Symmetry: F-43m, No. 216
# Calculated volume (Å³ per cell): 98.1
# Total DFT energy (no corrections) (eV/cell): -20.6
# ΔE_f (meV/atom): -376.8
data_AcDyNiGe
_cell_length_a 5.176
_cell_length_b 5.176
_cell_length_c 5.176
_cell_angle_alpha 60.00
_cell_angle_beta 60.00
_cell_angle_gamma 60.00
_space_group_name_H-M_alt 'P 1'
_space_group_IT_number 1
loop_
_space_group_symop_operation_xyz
'x,y,z'
loop_
_atom_site_label
_atom_site_type_symbol
_atom_site_fract_x
_atom_site_fract_y
_atom_site_fract_z
Ni1 Ni 0.750 0.750 0.750
Ac1 Ac 0.500 0.500 0.500
Ge1 Ge 0.250 0.250 0.250
Dy1 Dy 0.000 0.000 0.000

=====

[14]
# PBE AcDyNi2Ge2, relaxed
# Symmetry: P-3m1, No. 164
# Calculated volume (Å³ per cell): 124.7
# Total DFT energy (no corrections) (eV/cell): -33.7
# ΔE_f (meV/atom): -700.7
data_AcDyNi2Ge2
_cell_length_a 4.190
_cell_length_b 4.190
_cell_length_c 8.202
_cell_angle_alpha 90.00
_cell_angle_beta 90.00
_cell_angle_gamma 120.00
_space_group_name_H-M_alt 'P 1'
_space_group_IT_number 1
loop_
_space_group_symop_operation_xyz
'x,y,z'
loop_
_atom_site_label
_atom_site_type_symbol
_atom_site_fract_x
_atom_site_fract_y
_atom_site_fract_z
Ac1 Ac 0.000 0.000 0.000
Dy1 Dy 0.000 0.000 0.500
Ni1 Ni 0.667 0.333 0.283
Ni2 Ni 0.333 0.667 0.717
Ge1 Ge 0.667 0.333 0.725
Ge2 Ge 0.333 0.667 0.275